(1)
A relaxed Zr2Be5Co5 crystal. Source: Alexandria via LeMat-Bulk, functional GGA-PBE.

M_tot: 2.69 μB per cell
DOS(E_F): 10.72 states/eV/cell
Formation energy from the elements: -300.0 meV per atom

Cell and atoms, written as extended XYZ:
```
12
Lattice="3.660 0.000 0.000 0.000 4.645 0.000 0.000 0.000 8.109" Properties=species:S:1:pos:R:3 pbc="T T T"
Zr 0.000 0.000 4.055
Zr 0.000 2.322 0.000
Be 1.830 1.172 2.058
Be 1.830 3.472 2.058
Be 1.830 3.472 6.051
Be 1.830 2.322 4.055
Be 1.830 1.172 6.051
Co 0.000 2.322 2.698
Co 0.000 2.322 5.411
Co 1.830 0.000 0.000
Co 0.000 0.000 1.448
Co 0.000 0.000 6.661
```

***

(2)
A relaxed ZrBe2Co crystal. Source: Alexandria via LeMat-Bulk, functional GGA-PBE.

M_tot: 0.00 μB per cell
E above lowest polymorph: 297.4 meV per atom
DOS(E_F): 1.59 states/eV/cell
Formation energy from the elements: 35.9 meV per atom

Cell and atoms, written as extended XYZ:
```
4
Lattice="3.583 0.000 0.000 0.000 3.583 0.000 0.000 0.000 4.030" Properties=species:S:1:pos:R:3 pbc="T T T"
Zr 0.000 1.791 2.015
Co 1.791 0.000 2.015
Be 1.791 1.791 0.000
Be 0.000 0.000 0.000
```

***

(3)
A relaxed ZrBeCo2 crystal. Source: Alexandria via LeMat-Bulk, functional GGA-PBE.

M_tot: 0.00 μB per cell
DOS(E_F): 2.26 states/eV/cell
Formation energy from the elements: -176.4 meV per atom

Cell and atoms, written as extended XYZ:
```
4
Lattice="-0.774 -2.783 -0.819 1.215 0.465 -2.729 6.121 -1.446 -0.868" Properties=species:S:1:pos:R:3 pbc="T T T"
Zr 1.447 -1.637 -1.309
Co 3.854 -0.563 -1.728
Co 5.935 -1.374 -0.938
Be 5.115 -2.127 -3.107
```

***

(4)
A relaxed ZrBeCo2 crystal. Source: Alexandria via LeMat-Bulk, functional GGA-PBE.

M_tot: 0.90 μB per cell
DOS(E_F): 3.43 states/eV/cell
Formation energy from the elements: 152.3 meV per atom

Cell and atoms, written as extended XYZ:
```
4
Lattice="-2.900 -0.132 -3.783 -0.684 -3.212 3.477 -2.217 0.934 1.337" Properties=species:S:1:pos:R:3 pbc="T T T"
Be -1.792 -1.672 -0.153
Zr -1.451 -1.139 2.407
Co 0.000 0.000 0.000
Co -2.559 0.401 -1.223
```

***

(5)
A relaxed ZrBeCo2 crystal. Source: Alexandria via LeMat-Bulk, functional GGA-PBE.

M_tot: 0.00 μB per cell
DOS(E_F): 0.98 states/eV/cell
Formation energy from the elements: -190.3 meV per atom

Cell and atoms, written as extended XYZ:
```
4
Lattice="-3.120 0.891 0.434 -0.928 -1.553 -3.487 -0.743 -3.446 1.732" Properties=species:S:1:pos:R:3 pbc="T T T"
Be -1.560 0.445 0.217
Zr -2.396 -2.054 -0.660
Co -0.371 -1.723 0.866
Co -0.464 -0.776 -1.743
```

***

(6)
A relaxed Zr2BeCo crystal. Source: Alexandria via LeMat-Bulk, functional GGA-PBE.

M_tot: 0.76 μB per cell
DOS(E_F): 4.08 states/eV/cell
Formation energy from the elements: 207.0 meV per atom

Cell and atoms, written as extended XYZ:
```
4
Lattice="4.458 0.000 0.000 2.229 3.861 0.000 2.229 1.287 3.640" Properties=species:S:1:pos:R:3 pbc="T T T"
Be 4.458 2.574 1.820
Zr 0.000 0.000 0.000
Zr 2.229 1.287 0.910
Co 6.687 3.861 2.730
```

***

(7)
A relaxed Be3Cr crystal. Source: Alexandria via LeMat-Bulk, functional GGA-PBE.

M_tot: 0.00 μB per cell
DOS(E_F): 0.43 states/eV/cell
Formation energy from the elements: 63.9 meV per atom

Cell and atoms, written as extended XYZ:
```
4
Lattice="4.052 0.020 0.000 -1.343 3.823 0.000 0.000 0.000 2.368" Properties=species:S:1:pos:R:3 pbc="T T T"
Be 2.026 0.010 1.184
Be 1.355 1.922 0.000
Be -0.671 1.912 1.184
Cr 0.000 0.000 0.000
```

***

(8)
A relaxed Be2Cr crystal. Source: Alexandria via LeMat-Bulk, functional GGA-PBE.

M_tot: 0.00 μB per cell
E above lowest polymorph: 12.9 meV per atom
DOS(E_F): 3.74 states/eV/cell
Formation energy from the elements: -224.7 meV per atom

Cell and atoms, written as extended XYZ:
```
6
Lattice="4.209 0.000 0.000 2.104 3.645 0.000 2.104 1.215 3.436" Properties=species:S:1:pos:R:3 pbc="T T T"
Be 5.261 3.037 2.148
Be 4.209 2.430 0.430
Be 3.157 3.037 2.148
Be 4.209 1.215 2.148
Cr 0.000 0.000 0.000
Cr 2.104 1.215 0.859
```